(1)
Er2AlSiNi, relaxed, DFT PBE; SG = Imm2 (44); electronic total energy = -5.41 eV per atom
1.0
4.0153 0.0000 0.0000
0.0000 8.5701 0.0000
0.0000 0.0000 5.5857
Er Al Si Ni
4 2 2 2
direct
0.0000 0.2062 0.0000
0.0000 0.7938 0.0000
0.5000 0.2938 0.5000
0.5000 0.7062 0.5000
0.0000 0.0000 0.5091
0.5000 0.5000 0.0091
0.0000 0.5000 0.7162
0.5000 0.0000 0.2162
0.0000 0.5000 0.2860
0.5000 0.0000 0.7860

***

(2)
Gd2NCl3, relaxed, DFT PBE; SG = Pbcn (60); electronic total energy = -5.98 eV per atom
1.0
13.0837 0.0000 0.0000
0.0000 6.7353 0.0000
0.0000 0.0000 6.1485
Gd N Cl
8 4 12
direct
0.0918 0.1725 0.0078
0.0918 0.8275 0.5078
0.4082 0.3275 0.5078
0.4082 0.6725 0.0078
0.5918 0.3275 0.9922
0.5918 0.6725 0.4922
0.9082 0.1725 0.4922
0.9082 0.8275 0.9922
0.0000 0.0101 0.7500
0.0000 0.9899 0.2500
0.5000 0.4899 0.2500
0.5000 0.5101 0.7500
0.0000 0.4971 0.2500
0.0000 0.5029 0.7500
0.2212 0.1347 0.3898
0.2212 0.8653 0.8898
0.2788 0.3653 0.8898
0.2788 0.6347 0.3898
0.5000 0.0029 0.7500
0.5000 0.9971 0.2500
0.7212 0.3653 0.6102
0.7212 0.6347 0.1102
0.7788 0.1347 0.1102
0.7788 0.8653 0.6102

***

(3)
PmYNO, relaxed, DFT PBE; ΔE to the lowest computed polymorph = 82 meV/atom; SG = Pmc2_1 (26)
1.0
4.0354 0.0000 0.0000
0.0000 6.9820 0.0000
0.0000 0.0000 5.0134
Pm Y N O
2 2 2 2
direct
0.0000 0.1652 0.0000
0.0000 0.8348 0.5000
0.5000 0.3307 0.5002
0.5000 0.6693 0.0001
0.0000 0.1737 0.5016
0.0000 0.8263 0.0016
0.5000 0.3422 0.9979
0.5000 0.6578 0.4979

***

(4)
CuSb5Au3, relaxed, DFT PBE; SG = P6/mmm (191); electronic total energy = -3.45 eV per atom
1.0
5.5220 0.0000 0.0000
-2.7610 4.7822 0.0000
0.0000 0.0000 9.1589
Cu Sb Au
1 5 3
direct
0.0000 0.0000 0.0000
0.0000 0.0000 0.5000
0.3333 0.6667 0.1601
0.3333 0.6667 0.8399
0.6667 0.3333 0.1601
0.6667 0.3333 0.8399
0.0000 0.5000 0.5000
0.5000 0.0000 0.5000
0.5000 0.5000 0.5000

***

(5)
Gd2AgTe3, relaxed, DFT PBE; ΔE to the lowest computed polymorph = 0 meV/atom; SG = Pnma (62)
1.0
11.1148 0.0000 0.0000
0.0000 4.2062 0.0000
0.0000 0.0000 14.6733
Gd Ag Te
8 4 12
direct
0.0145 0.2500 0.2477
0.2305 0.7500 0.5259
0.2695 0.2500 0.0259
0.4855 0.7500 0.7477
0.5145 0.2500 0.2523
0.7305 0.7500 0.9741
0.7695 0.2500 0.4741
0.9855 0.7500 0.7523
0.2377 0.2500 0.7263
0.2623 0.7500 0.2263
0.7377 0.2500 0.7737
0.7623 0.7500 0.2737
0.0435 0.2500 0.6008
0.0781 0.7500 0.0977
0.2372 0.7500 0.8594
0.2628 0.2500 0.3594
0.4219 0.2500 0.5977
0.4565 0.7500 0.1008
0.5435 0.2500 0.8992
0.5781 0.7500 0.4023
0.7372 0.7500 0.6406
0.7628 0.2500 0.1406
0.9219 0.2500 0.9023
0.9565 0.7500 0.3992

***

(6)
Lu4InCoN2, relaxed, DFT PBE; SG = P-6m2 (187); electronic total energy = -6.52 eV per atom
1.0
3.3683 0.0000 0.0000
-1.6842 2.9171 0.0000
0.0000 0.0000 14.5292
Lu In Co N
4 1 1 2
direct
0.0000 0.0000 0.1326
0.0000 0.0000 0.8674
0.3333 0.6667 0.3190
0.3333 0.6667 0.6810
0.0000 0.0000 0.5000
0.3333 0.6667 0.0000
0.6667 0.3333 0.2384
0.6667 0.3333 0.7617

***

(7)
HfTe2, relaxed, DFT PBE; SG = Cmc2_1 (36); electronic total energy = -6.24 eV per atom
1.0
3.9629 0.0000 0.0000
0.0000 6.8568 0.0000
0.0000 0.0000 14.3838
Hf Te
4 8
direct
0.0000 0.2204 0.0000
0.0000 0.7796 0.5000
0.5000 0.2796 0.5000
0.5000 0.7204 0.0000
0.0000 0.1135 0.6234
0.0000 0.4462 0.3764
0.0000 0.5538 0.8764
0.0000 0.8865 0.1234
0.5000 0.0538 0.8764
0.5000 0.3865 0.1234
0.5000 0.6135 0.6234
0.5000 0.9462 0.3764

***

(8)
YAgPbSe3, relaxed, DFT PBE; ΔE to the lowest computed polymorph = 3 meV/atom; SG = P2_1/m (11)
1.0
7.8266 0.0000 0.0000
0.0000 4.1336 0.0000
-2.7744 0.0000 9.7127
Y Ag Pb Se
2 2 2 6
direct
0.1947 0.2500 0.1591
0.8053 0.7500 0.8409
0.4103 0.7500 0.4069
0.5897 0.2500 0.5931
0.2383 0.7500 0.7002
0.7617 0.2500 0.2998
0.0713 0.2500 0.8632
0.2076 0.2500 0.4549
0.4481 0.7500 0.1563
0.5519 0.2500 0.8437
0.7924 0.7500 0.5451
0.9287 0.7500 0.1368

***

(9)
Ho3Sn3PdPt2, relaxed, DFT PBE; SG = P-62m (189); electronic total energy = -5.83 eV per atom
1.0
7.5190 0.0000 0.0000
-3.7595 6.5117 0.0000
0.0000 0.0000 3.9935
Ho Sn Pd Pt
3 3 1 2
direct
0.0000 0.4077 0.0000
0.4077 0.0000 0.0000
0.5923 0.5923 0.0000
0.0000 0.7419 0.5000
0.2581 0.2581 0.5000
0.7419 0.0000 0.5000
0.0000 0.0000 0.0000
0.3333 0.6667 0.5000
0.6667 0.3333 0.5000

***

(10)
Li2Zn3GePt2, relaxed, DFT PBE; SG = P-4m2 (115); electronic total energy = -3.58 eV per atom
1.0
4.3251 0.0000 0.0000
0.0000 4.3251 0.0000
0.0000 0.0000 6.0987
Li Zn Ge Pt
2 3 1 2
direct
0.0000 0.5000 0.2468
0.5000 0.0000 0.7532
0.0000 0.0000 0.0000
0.5000 0.5000 0.0000
0.5000 0.5000 0.5000
0.0000 0.0000 0.5000
0.0000 0.5000 0.7406
0.5000 0.0000 0.2594

***

(11)
MgZnTeO, relaxed, DFT PBE; ΔE to the lowest computed polymorph = 185 meV/atom; SG = Pnma (62)
1.0
6.0720 0.0000 0.0000
0.0000 3.7260 0.0000
0.0000 0.0000 12.6466
Mg Zn Te O
4 4 4 4
direct
0.0049 0.2500 0.2484
0.4951 0.7500 0.7484
0.5049 0.2500 0.2516
0.9951 0.7500 0.7516
0.2384 0.7500 0.4251
0.2616 0.2500 0.9251
0.7384 0.7500 0.0749
0.7616 0.2500 0.5749
0.2461 0.2500 0.6017
0.2539 0.7500 0.1017
0.7461 0.2500 0.8983
0.7539 0.7500 0.3983
0.2473 0.7500 0.8458
0.2527 0.2500 0.3458
0.7473 0.7500 0.6542
0.7527 0.2500 0.1542

***

(12)
HfHgPb, relaxed, DFT PBE; ΔE to the lowest computed polymorph = 0 meV/atom; SG = I4mm (107)
1.0
3.5778 0.0000 0.0000
0.0000 3.5778 0.0000
0.0000 0.0000 11.0778
Hf Hg Pb
2 2 2
direct
0.0000 0.0000 0.0000
0.5000 0.5000 0.5000
0.0000 0.0000 0.3570
0.5000 0.5000 0.8570
0.0000 0.0000 0.6815
0.5000 0.5000 0.1815

***

(13)
PmBiN2O, relaxed, DFT PBE; SG = C2/m (12); electronic total energy = -6.61 eV per atom
1.0
4.1348 -4.2177 0.0000
4.1348 4.2177 0.0000
-4.0984 0.0000 4.2406
Pm Bi N O
2 2 4 2
direct
0.2237 0.2237 0.4561
0.7763 0.7763 0.5439
0.0000 0.5000 0.0000
0.5000 0.0000 0.0000
0.1783 0.8217 0.0000
0.3707 0.3707 0.1522
0.6293 0.6293 0.8478
0.8217 0.1783 0.0000
0.1671 0.8329 0.5000
0.8329 0.1671 0.5000

***

(14)
YHoBe, relaxed, DFT PBE; SG = F-43m (216); electronic total energy = -3.92 eV per atom
1.0
6.7531 0.0000 0.0000
0.0000 6.7531 0.0000
0.0000 0.0000 6.7531
Y Ho Be
4 4 4
direct
0.0000 0.0000 0.0000
0.0000 0.5000 0.5000
0.5000 0.0000 0.5000
0.5000 0.5000 0.0000
0.2500 0.2500 0.2500
0.2500 0.7500 0.7500
0.7500 0.2500 0.7500
0.7500 0.7500 0.2500
0.2500 0.2500 0.7500
0.2500 0.7500 0.2500
0.7500 0.2500 0.2500
0.7500 0.7500 0.7500

***

(15)
Zn2GaPt, relaxed, DFT PBE; SG = F-43m (216); electronic total energy = -3.15 eV per atom
1.0
6.2148 0.0000 0.0000
0.0000 6.2148 0.0000
0.0000 0.0000 6.2148
Zn Ga Pt
8 4 4
direct
0.0000 0.0000 0.0000
0.0000 0.5000 0.5000
0.2500 0.2500 0.2500
0.2500 0.7500 0.7500
0.5000 0.0000 0.5000
0.5000 0.5000 0.0000
0.7500 0.2500 0.7500
0.7500 0.7500 0.2500
0.0000 0.0000 0.5000
0.0000 0.5000 0.0000
0.5000 0.0000 0.0000
0.5000 0.5000 0.5000
0.2500 0.2500 0.7500
0.2500 0.7500 0.2500
0.7500 0.2500 0.2500
0.7500 0.7500 0.7500

***

(16)
TcSbAs2, relaxed, DFT PBE; SG = F-43m (216); electronic total energy = -5.46 eV per atom
1.0
6.6421 0.0000 0.0000
0.0000 6.6421 0.0000
0.0000 0.0000 6.6421
Tc Sb As
4 4 8
direct
0.0000 0.0000 0.0000
0.0000 0.5000 0.5000
0.5000 0.0000 0.5000
0.5000 0.5000 0.0000
0.2500 0.2500 0.2500
0.2500 0.7500 0.7500
0.7500 0.2500 0.7500
0.7500 0.7500 0.2500
0.0000 0.0000 0.5000
0.0000 0.5000 0.0000
0.2500 0.2500 0.7500
0.2500 0.7500 0.2500
0.5000 0.0000 0.0000
0.5000 0.5000 0.5000
0.7500 0.2500 0.2500
0.7500 0.7500 0.7500

***

(17)
NdEr2Mg3InGa2, relaxed, DFT PBE; SG = Amm2 (38); electronic total energy = -3.49 eV per atom
1.0
4.5703 0.0000 0.0000
0.0000 6.4125 3.6510
0.0000 -6.4125 3.6510
Nd Er Mg In Ga
1 2 3 1 2
direct
0.0000 0.0000 0.0000
0.0000 0.1240 0.5624
0.0000 0.5624 0.1240
0.5000 0.3116 0.3116
0.5000 0.5600 0.8093
0.5000 0.8093 0.5600
0.0000 0.5533 0.5533
0.5000 0.2323 0.8915
0.5000 0.8915 0.2323

***

(18)
Cu5Ag4, relaxed, DFT PBE; ΔE to the lowest computed polymorph = 59 meV/atom; SG = P-3m1 (164)
1.0
2.7832 0.0000 0.0000
-1.3916 2.4104 0.0000
0.0000 0.0000 19.7451
Cu Ag
5 4
direct
0.0000 0.0000 0.0000
0.0000 0.0000 0.3519
0.0000 0.0000 0.6481
0.3333 0.6667 0.5497
0.6667 0.3333 0.4503
0.3333 0.6667 0.2391
0.3333 0.6667 0.8881
0.6667 0.3333 0.1119
0.6667 0.3333 0.7609

***

(19)
HfScSi2Ir4, relaxed, DFT PBE; SG = Amm2 (38); electronic total energy = -8.73 eV per atom
1.0
6.9680 0.0000 0.0000
0.0000 3.6759 0.0000
0.0000 0.0000 9.7275
Hf Sc Si Ir
2 2 4 8
direct
0.0000 0.0000 0.0000
0.0000 0.5000 0.5000
0.5000 0.0000 0.1095
0.5000 0.5000 0.6095
0.0000 0.0000 0.2809
0.0000 0.5000 0.7809
0.5000 0.0000 0.8266
0.5000 0.5000 0.3266
0.2023 0.0000 0.6928
0.2023 0.5000 0.1928
0.2955 0.0000 0.4179
0.2955 0.5000 0.9179
0.7045 0.0000 0.4179
0.7045 0.5000 0.9179
0.7977 0.0000 0.6928
0.7977 0.5000 0.1928

***

(20)
GdAl2ZnPt, relaxed, DFT PBE; SG = I4mm (107); electronic total energy = -4.67 eV per atom
1.0
4.1458 0.0000 0.0000
0.0000 4.1458 0.0000
0.0000 0.0000 11.0144
Gd Al Zn Pt
2 4 2 2
direct
0.0000 0.0000 0.0000
0.5000 0.5000 0.5000
0.0000 0.5000 0.2532
0.0000 0.5000 0.7532
0.5000 0.0000 0.2532
0.5000 0.0000 0.7532
0.0000 0.0000 0.3974
0.5000 0.5000 0.8974
0.0000 0.0000 0.6256
0.5000 0.5000 0.1256